(one)
La3RhPb: relaxed, PBE-GGA.

abc: 5.532 5.532 5.532
angles: 90.00 90.00 90.00
Space group Pm-3m (No. 221)
Symmetry-distinct sites (fractional):
La  0.000  0.000  0.500 (multiplicity 3)
Rh  0.000  0.000  0.000 (multiplicity 1)
Pb  0.500  0.500  0.500 (multiplicity 1)

## Properties
spin magnetization	0.00	μB per cell

---

(two)
La3RhPb: relaxed, PBE-GGA.

abc: 8.578 4.728 15.419
angles: 90.00 90.00 90.00
Space group Pnma (No. 62)
Symmetry-distinct sites (fractional):
La  0.024  0.250  0.106 (multiplicity 4)
La  0.145  0.250  0.508 (multiplicity 4)
La  0.188  0.750  0.286 (multiplicity 4)
Rh  0.173  0.250  0.941 (multiplicity 4)
Pb  0.091  0.750  0.675 (multiplicity 4)

## Properties
spin magnetization	0.00	μB per cell

---

Name the least stable of them. (one).

---

(one)
La2TlRhPb: relaxed, PBE-GGA.

abc: 5.480 5.480 5.234
angles: 90.00 90.00 90.00
Space group P4/mmm (No. 123)
Symmetry-distinct sites (fractional):
La  0.000  0.500  0.000 (multiplicity 2)
Tl  0.000  0.000  0.500 (multiplicity 1)
Rh  0.000  0.000  0.000 (multiplicity 1)
Pb  0.500  0.500  0.500 (multiplicity 1)

## Properties
spin magnetization	0.00	μB per cell

---

(two)
La2TlRhPb: relaxed, PBE-GGA.

abc: 5.498 5.498 5.247
angles: 90.00 90.00 90.00
Space group P4/mmm (No. 123)
Symmetry-distinct sites (fractional):
La  0.000  0.500  0.000 (multiplicity 2)
Tl  0.000  0.000  0.500 (multiplicity 1)
Rh  0.500  0.500  0.000 (multiplicity 1)
Pb  0.500  0.500  0.500 (multiplicity 1)

## Properties
spin magnetization	0.00	μB per cell

---

Name the least stable of them. (two).

---

(one)
La3RuPb: relaxed, PBE-GGA.

abc: 6.368 9.935 9.175
angles: 90.00 90.00 90.00
Space group Pnma (No. 62)
Symmetry-distinct sites (fractional):
La  0.159  0.055  0.172 (multiplicity 8)
La  0.200  0.750  0.361 (multiplicity 4)
Ru  0.000  0.000  0.500 (multiplicity 4)
Pb  0.230  0.750  0.977 (multiplicity 4)

## Properties
spin magnetization	0.00	μB per cell

---

(two)
La3RuPb: relaxed, PBE-GGA.

abc: 14.493 14.106 6.403
angles: 90.00 104.81 90.00
Space group C2/c (No. 15)
Symmetry-distinct sites (fractional):
La  0.069  0.156  0.042 (multiplicity 8)
La  0.114  0.441  0.072 (multiplicity 8)
La  0.164  0.299  0.608 (multiplicity 8)
Ru  0.000  0.317  0.750 (multiplicity 4)
Ru  0.000  0.318  0.250 (multiplicity 4)
Pb  0.171  0.058  0.572 (multiplicity 8)

## Properties
spin magnetization	0.00	μB per cell

---

Name the least stable of them. (one).

---

(one)
La3RuPb: relaxed, PBE-GGA.

abc: 8.782 7.064 12.002
angles: 90.00 125.54 90.00
Space group P2_1/c (No. 14)
Symmetry-distinct sites (fractional):
La  0.160  0.060  0.177 (multiplicity 4)
La  0.201  0.587  0.259 (multiplicity 4)
La  0.331  0.136  0.539 (multiplicity 4)
Ru  0.046  0.678  0.965 (multiplicity 4)
Pb  0.422  0.674  0.601 (multiplicity 4)

## Properties
spin magnetization	0.00	μB per cell

---

(two)
La3RuPb: relaxed, PBE-GGA.

abc: 5.1686 5.1686 15.8189
angles: 90.00 90.00 120.00
Space group P6_3/mmc (No. 194)
Symmetry-distinct sites (fractional):
La  0.0000  0.0000  0.2500 (multiplicity 2)
La  0.3333  0.6667  0.0540 (multiplicity 4)
Ru  0.0000  0.0000  0.0000 (multiplicity 2)
Pb  0.3333  0.6667  0.2500 (multiplicity 2)

## Properties
spin magnetization	0.00	μB per cell

---

Name the least stable of them. (two).

---

(one)
La3RuPb: relaxed, PBE-GGA.

abc: 8.8471 8.8471 13.1727
angles: 90.00 90.00 120.00
Space group R-3 (No. 148, hexagonal axes)
Symmetry-distinct sites (fractional):
La  0.0024  0.3058  0.0986 (multiplicity 18)
Ru  0.0000  0.0000  0.1031 (multiplicity 6)
Pb  0.0000  0.0000  0.3299 (multiplicity 6)

## Properties
spin magnetization	0.00	μB per cell

---

(two)
La3RuPb: relaxed, PBE-GGA.

abc: 15.556 4.945 8.189
angles: 90.00 107.45 90.00
Space group C2/m (No. 12)
Symmetry-distinct sites (fractional):
La  0.091  0.000  0.480 (multiplicity 4)
La  0.102  0.500  0.178 (multiplicity 4)
La  0.209  0.500  0.760 (multiplicity 4)
Ru  0.037  0.500  0.694 (multiplicity 4)
Pb  0.092  0.000  0.895 (multiplicity 4)

## Properties
spin magnetization	0.00	μB per cell

---

Name the least stable of them. (one).

---

(one)
La3RuPb: relaxed, PBE-GGA.

abc: 4.647 4.647 8.700
angles: 90.00 90.00 90.00
Space group P4mm (No. 99)
Symmetry-distinct sites (fractional):
La  0.000  0.000  0.000 (multiplicity 1)
La  0.000  0.500  0.361 (multiplicity 2)
Ru  0.500  0.500  0.543 (multiplicity 1)
Pb  0.000  0.000  0.637 (multiplicity 1)

## Properties
spin magnetization	0.75	μB per cell

---

(two)
La3RuPb: relaxed, PBE-GGA.

abc: 8.979 4.037 8.603
angles: 90.00 90.00 90.00
Space group Pmma (No. 51)
Symmetry-distinct sites (fractional):
La  0.018  0.000  0.195 (multiplicity 4)
La  0.250  0.500  0.530 (multiplicity 2)
Ru  0.000  0.000  0.500 (multiplicity 2)
Pb  0.250  0.500  0.963 (multiplicity 2)

## Properties
spin magnetization	0.00	μB per cell

---

Name the least stable of them. (one).

---

(one)
La3RuPb: relaxed, PBE-GGA.

abc: 6.962 17.123 6.063
angles: 90.00 90.00 90.00
Space group Cmcm (No. 63)
Symmetry-distinct sites (fractional):
La  0.000  0.000  0.000 (multiplicity 4)
La  0.239  0.343  0.250 (multiplicity 8)
Ru  0.000  0.448  0.250 (multiplicity 4)
Pb  0.000  0.175  0.250 (multiplicity 4)

## Properties
spin magnetization	0.00	μB per cell

---

(two)
La3RuPb: relaxed, PBE-GGA.

abc: 6.095 6.095 22.746
angles: 90.00 90.00 90.00
Space group I-4m2 (No. 119)
Symmetry-distinct sites (fractional):
La  0.000  0.000  0.212 (multiplicity 4)
La  0.000  0.234  0.627 (multiplicity 8)
Ru  0.000  0.500  0.199 (multiplicity 4)
Pb  0.000  0.000  0.500 (multiplicity 2)
Pb  0.000  0.500  0.750 (multiplicity 2)

## Properties
spin magnetization	0.35	μB per cell

---

Name the least stable of them. (two).

---

(one)
La3RuPb: relaxed, PBE-GGA.

abc: 5.0623 5.0623 16.7016
angles: 90.00 90.00 120.00
Space group P6_3/mmc (No. 194)
Symmetry-distinct sites (fractional):
La  0.0000  0.0000  0.2500 (multiplicity 2)
La  0.3333  0.6667  0.0908 (multiplicity 4)
Ru  0.3333  0.6667  0.2500 (multiplicity 2)
Pb  0.0000  0.0000  0.0000 (multiplicity 2)

## Properties
spin magnetization	0.00	μB per cell

---

(two)
La3RuPb: relaxed, PBE-GGA.

abc: 5.058 14.377 8.801
angles: 90.00 90.00 90.00
Space group Cmcm (No. 63)
Symmetry-distinct sites (fractional):
La  0.000  0.042  0.250 (multiplicity 4)
La  0.000  0.353  0.014 (multiplicity 8)
Ru  0.000  0.213  0.250 (multiplicity 4)
Pb  0.000  0.191  0.750 (multiplicity 4)

## Properties
spin magnetization	0.00	μB per cell

---

Name the least stable of them. (one).

---

(one)
La3RuPb: relaxed, PBE-GGA.

abc: 6.342 6.342 17.685
angles: 90.00 90.00 90.00
Space group I-4m2 (No. 119)
Symmetry-distinct sites (fractional):
La  0.000  0.000  0.219 (multiplicity 4)
La  0.000  0.254  0.611 (multiplicity 8)
Ru  0.000  0.000  0.500 (multiplicity 2)
Ru  0.000  0.500  0.750 (multiplicity 2)
Pb  0.000  0.500  0.142 (multiplicity 4)

## Properties
spin magnetization	0.00	μB per cell

---

(two)
La3RuPb: relaxed, PBE-GGA.

abc: 8.621 11.080 6.772
angles: 90.00 90.00 90.00
Space group Cmcm (No. 63)
Symmetry-distinct sites (fractional):
La  0.000  0.000  0.000 (multiplicity 4)
La  0.190  0.296  0.250 (multiplicity 8)
Ru  0.000  0.189  0.750 (multiplicity 4)
Pb  0.000  0.437  0.750 (multiplicity 4)

## Properties
spin magnetization	0.00	μB per cell

---

Name the least stable of them. (one).